No. 1
MnCr3Ga | PBE | optimized geometry

a = 4.7670 Å, b = 4.7670 Å, c = 6.6142 Å
α = 103.78°, β = 103.78°, γ = 60.59°
Fractional coordinates of all 10 atoms:
Mn 0.0467 0.0467 0.1762
Mn 0.9533 0.9533 0.8238
Cr 0.0807 0.5844 0.3537
Cr 0.4156 0.9193 0.6463
Cr 0.4258 0.4258 0.6649
Cr 0.5742 0.5742 0.3351
Cr 0.5844 0.0807 0.3537
Cr 0.9193 0.4156 0.6463
Ga 0.3237 0.3237 0.9984
Ga 0.6763 0.6763 0.0016

Values from the calculation:
For the size of the total moment, the calculation gives 0.00 μB/f.u. Its formation energy is 0.238 eV per atom. The calculated density comes out at 7.4 g/cm3. The value obtained for the energy above the most stable polymorph in this dataset is 0.00 eV per formula unit. Its space group is C2/m. The value obtained for the raw total energy is -7.975 eV per atom.

No. 2
FeCo6Mo | PBE | optimized geometry

a = 5.0476 Å, b = 5.0476 Å, c = 3.5674 Å
α = 90.00°, β = 90.00°, γ = 90.00°
Fractional coordinates of all 8 atoms:
Fe 0.0000 0.0000 0.0000
Co 0.0000 0.5000 0.0000
Co 0.2459 0.2459 0.5000
Co 0.2459 0.7541 0.5000
Co 0.5000 0.0000 0.0000
Co 0.7541 0.2459 0.5000
Co 0.7541 0.7541 0.5000
Mo 0.5000 0.5000 0.0000

Values from the calculation:
For the size of the total moment, the calculation gives 8.65 μB/f.u. Its formation energy is 0.028 eV per atom. The calculated density comes out at 9.2 g/cm3. The value obtained for the energy above the most stable polymorph in this dataset is 0.02 eV per formula unit. Its space group is P4/mmm. The value obtained for the raw total energy is -7.713 eV per atom.

No. 3
TbDySi2 | PBE | optimized geometry

a = 3.8428 Å, b = 5.7037 Å, c = 5.7037 Å
α = 44.23°, β = 90.00°, γ = 90.00°
Fractional coordinates of all 4 atoms:
Tb 0.0000 0.0000 0.0000
Dy 0.5000 0.7197 0.7197
Si 0.0000 0.2837 0.2837
Si 0.5000 0.4355 0.4355

Values from the calculation:
For the size of the total moment, the calculation gives 0.00 μB/f.u. The uncorrected formation energy is -0.83 eV/atom. The calculated density comes out at 7.2 g/cm3. The value obtained for the energy above the most stable polymorph in this dataset is 0.00 eV per formula unit. Its space group is Amm2. The value obtained for the raw total energy is -5.846 eV per atom.

No. 4
BSb2Te2 | PBE | optimized geometry

a = 9.1807 Å, b = 9.1807 Å, c = 9.1807 Å
α = 154.11°, β = 154.11°, γ = 36.95°
Fractional coordinates of all 5 atoms:
B 0.0000 0.0000 0.0000
Sb 0.2500 0.7500 0.5000
Sb 0.7500 0.2500 0.5000
Te 0.4208 0.4208 0.0000
Te 0.5792 0.5792 0.0000

Values from the calculation:
For the size of the total moment, the calculation gives 0.00 μB/f.u. The uncorrected formation energy is 1.04 eV/atom. The calculated density comes out at 5.7 g/cm3. The value obtained for the energy above the most stable polymorph in this dataset is 2.14 eV per formula unit. Its space group is I4/mmm. The value obtained for the raw total energy is -3.197 eV per atom.

No. 5
BaCuRh | PBE | optimized geometry

a = 4.6510 Å, b = 5.2906 Å, c = 5.9578 Å
α = 113.96°, β = 90.13°, γ = 90.00°
Fractional coordinates of all 6 atoms:
Ba 0.2500 0.2457 0.0044
Ba 0.7500 0.7543 0.9956
Cu 0.2501 0.8625 0.4606
Cu 0.7499 0.1375 0.5394
Rh 0.2500 0.3913 0.5339
Rh 0.7500 0.6087 0.4661

Values from the calculation:
For the size of the total moment, the calculation gives 0.00 μB/f.u. Its formation energy is -0.020 eV per atom. The calculated density comes out at 7.5 g/cm3. The value obtained for the energy above the most stable polymorph in this dataset is 0.09 eV per formula unit. Its space group is P-1. The value obtained for the raw total energy is -4.477 eV per atom.

No. 6
TcTeP2 | PBE | optimized geometry

a = 8.8533 Å, b = 8.8533 Å, c = 8.8533 Å
α = 20.36°, β = 20.36°, γ = 20.36°
Fractional coordinates of all 4 atoms:
Tc 0.0000 0.0000 0.0000
Te 0.5000 0.5000 0.5000
P 0.2705 0.2705 0.2705
P 0.7295 0.7295 0.7295

Values from the calculation:
For the size of the total moment, the calculation gives 0.00 μB/f.u. The uncorrected formation energy is 0.00 eV/atom. The calculated density comes out at 6.5 g/cm3. Its space group is R-3m. The value obtained for the raw total energy is -6.077 eV per atom.

No. 7
Rb2Dy2BiS6 | PBE | optimized geometry

a = 6.9741 Å, b = 6.9741 Å, c = 8.2643 Å
α = 97.98°, β = 97.98°, γ = 120.11°
Fractional coordinates of all 11 atoms:
Rb 0.1663 0.8337 0.0000
Rb 0.8337 0.1663 0.0000
Dy 0.3331 0.6669 0.5000
Dy 0.6669 0.3331 0.5000
Bi 0.0000 0.0000 0.5000
S 0.0617 0.3977 0.6891
S 0.2708 0.2708 0.3109
S 0.3977 0.0617 0.6891
S 0.6023 0.9383 0.3109
S 0.7292 0.7292 0.6891
S 0.9383 0.6023 0.3109

Values from the calculation:
For the size of the total moment, the calculation gives 0.00 μB/f.u. The uncorrected formation energy is -1.37 eV/atom. The calculated density comes out at 4.5 g/cm3. Its space group is C2/m. The value obtained for the raw total energy is -4.990 eV per atom.

No. 8
Ce3Ir2Os | PBE | optimized geometry

a = 6.9676 Å, b = 6.9676 Å, c = 8.0441 Å
α = 106.79°, β = 106.79°, γ = 48.11°
Fractional coordinates of all 12 atoms:
Ce 0.0046 0.9954 0.7500
Ce 0.3334 0.3413 0.9188
Ce 0.3413 0.3334 0.4188
Ce 0.6587 0.6666 0.5812
Ce 0.6666 0.6587 0.0812
Ce 0.9954 0.0046 0.2500
Ir 0.1656 0.1724 0.5847
Ir 0.1724 0.1656 0.0847
Ir 0.8276 0.8344 0.9153
Ir 0.8344 0.8276 0.4153
Os 0.4964 0.5036 0.2500
Os 0.5036 0.4964 0.7500

Values from the calculation:
For the size of the total moment, the calculation gives 0.00 μB/f.u. Its formation energy is -0.438 eV per atom. The calculated density comes out at 12.0 g/cm3. Its space group is C2/c. The value obtained for the raw total energy is -8.230 eV per atom.

No. 9
LiNi2Sb | PBE | optimized geometry

a = 3.3235 Å, b = 3.3235 Å, c = 5.1581 Å
α = 90.00°, β = 90.00°, γ = 90.00°
Fractional coordinates of all 4 atoms:
Li 0.0000 0.0000 0.0000
Ni 0.0000 0.0000 0.4676
Ni 0.5000 0.5000 0.2081
Sb 0.5000 0.5000 0.6965

Values from the calculation:
For the size of the total moment, the calculation gives 0.00 μB/f.u. The uncorrected formation energy is -0.08 eV/atom. The calculated density comes out at 7.2 g/cm3. Its space group is P4mm. The value obtained for the raw total energy is -4.481 eV per atom.

No. 10
Ba2PrCd3Hg12 | PBE | optimized geometry

a = 13.1231 Å, b = 13.1231 Å, c = 13.1231 Å
α = 32.00°, β = 32.00°, γ = 32.00°
Fractional coordinates of all 18 atoms:
Ba 0.1357 0.1357 0.1357
Ba 0.8643 0.8643 0.8643
Pr 0.5000 0.5000 0.5000
Cd 0.0000 0.5000 0.5000
Cd 0.5000 0.0000 0.5000
Cd 0.5000 0.5000 0.0000
Hg 0.0836 0.6220 0.6220
Hg 0.0921 0.0921 0.6611
Hg 0.0921 0.6611 0.0921
Hg 0.3389 0.9079 0.9079
Hg 0.3780 0.3780 0.9164
Hg 0.3780 0.9164 0.3780
Hg 0.6220 0.0836 0.6220
Hg 0.6220 0.6220 0.0836
Hg 0.6611 0.0921 0.0921
Hg 0.9079 0.3389 0.9079
Hg 0.9079 0.9079 0.3389
Hg 0.9164 0.3780 0.3780

Values from the calculation:
For the size of the total moment, the calculation gives 0.00 μB/f.u. Its formation energy is -0.165 eV per atom. The calculated density comes out at 9.3 g/cm3. Its space group is R-3m. The value obtained for the raw total energy is -0.998 eV per atom.

No. 11
Ba3SnN | PBE | optimized geometry

a = 7.7776 Å, b = 7.7776 Å, c = 6.7868 Å
α = 90.00°, β = 90.00°, γ = 120.00°
Fractional coordinates of all 10 atoms:
Ba 0.1578 0.3155 0.2500
Ba 0.1578 0.8422 0.2500
Ba 0.3155 0.1578 0.7500
Ba 0.6845 0.8422 0.2500
Ba 0.8422 0.1578 0.7500
Ba 0.8422 0.6845 0.7500
Sn 0.3333 0.6667 0.7500
Sn 0.6667 0.3333 0.2500
N 0.0000 0.0000 0.0000
N 0.0000 0.0000 0.5000

Values from the calculation:
For the size of the total moment, the calculation gives 0.00 μB/f.u. The uncorrected formation energy is -0.54 eV/atom. The calculated density comes out at 5.1 g/cm3. Its space group is P6_3/mmc. The value obtained for the raw total energy is -4.157 eV per atom.

No. 12
SmSc2Tl | PBE | optimized geometry

a = 3.4845 Å, b = 3.4845 Å, c = 8.6259 Å
α = 90.00°, β = 90.00°, γ = 90.00°
Fractional coordinates of all 4 atoms:
Sm 0.0000 0.0000 0.0000
Sc 0.5000 0.5000 0.2759
Sc 0.5000 0.5000 0.7241
Tl 0.0000 0.0000 0.5000

Values from the calculation:
For the size of the total moment, the calculation gives 0.00 μB/f.u. Its formation energy is -0.134 eV per atom. The calculated density comes out at 7.0 g/cm3. The value obtained for the energy above the most stable polymorph in this dataset is 0.20 eV per formula unit. Its space group is P4/mmm. The value obtained for the raw total energy is -5.071 eV per atom.

Number 1: density of states at the Fermi level 0.82 states/eV/atom. Number 2: density of states at the Fermi level 1.21 states/eV/atom. Number 3: density of states at the Fermi level 0.68 states/eV/atom. Number 4: density of states at the Fermi level 0.55 states/eV/atom. Number 5: density of states at the Fermi level 0.60 states/eV/atom. Number 6: density of states at the Fermi level 0.55 states/eV/atom. Number 7: density of states at the Fermi level 0.42 states/eV/atom. Number 8: density of states at the Fermi level 0.76 states/eV/atom. Number 9: density of states at the Fermi level 0.47 states/eV/atom. Number 10: density of states at the Fermi level 0.53 states/eV/atom. Number 11: density of states at the Fermi level 1.05 states/eV/atom. Number 12: density of states at the Fermi level 1.05 states/eV/atom.